<A>
DFT (PBE) results for crystalline Os5Ru at its relaxed geometry.

a = 6.0689 Å, b = 6.0689 Å, c = 3.8703 Å
α = 90.00°, β = 90.00°, γ = 143.08°
Atoms (fractional coordinates):
Os (0.3334, 0.6666, 0.5000)
Os (0.1672, 0.8328, 0.0000)
Os (0.0000, 0.0000, 0.5000)
Os (0.8328, 0.1672, 0.0000)
Os (0.6666, 0.3334, 0.5000)
Ru (0.5000, 0.5000, 0.0000)

Output
Space-group type: Cmmm (65)
Total moment (μB/f.u.): 0.00


<B>
DFT (PBE) results for crystalline Os5Ru at its relaxed geometry.

a = 5.0382 Å, b = 5.0382 Å, c = 4.4687 Å
α = 90.00°, β = 90.00°, γ = 120.00°
Atoms (fractional coordinates):
Os (0.0000, 0.5000, 0.5000)
Os (0.3333, 0.6667, 0.0000)
Os (0.5000, 0.0000, 0.5000)
Os (0.5000, 0.5000, 0.5000)
Os (0.6667, 0.3333, 0.0000)
Ru (0.0000, 0.0000, 0.0000)

Output
Space-group type: P6/mmm (191)
Total moment (μB/f.u.): 2.69


The most stable of them is <A>.


<A>
DFT (PBE) results for crystalline Os5Ru at its relaxed geometry.

a = 7.2772 Å, b = 2.7504 Å, c = 5.1377 Å
α = 74.47°, β = 120.38°, γ = 100.89°
Atoms (fractional coordinates):
Os (0.9998, 0.0007, 0.9985)
Os (0.7216, 0.6111, 0.4994)
Os (0.6669, 0.3332, 0.0005)
Os (0.3893, 0.9442, 0.5010)
Os (0.3330, 0.6660, 0.0011)
Ru (0.0560, 0.2783, 0.4995)

Output
Space-group type: Cm (8)
Total moment (μB/f.u.): 0.00


<B>
DFT (PBE) results for crystalline Os5Ru at its relaxed geometry.

a = 4.7579 Å, b = 4.7579 Å, c = 4.3475 Å
α = 90.00°, β = 90.00°, γ = 120.00°
Atoms (fractional coordinates):
Os (0.9999, 0.0000, 0.0000)
Os (0.6668, 0.3335, 0.0000)
Os (0.3333, 0.6665, 0.0000)
Os (0.0000, 0.3333, 0.5000)
Os (0.6667, 0.6667, 0.5000)
Ru (0.3333, 0.0000, 0.5000)

Output
Space-group type: P-62m (189)
Total moment (μB/f.u.): 0.00


The most stable of them is <B>.


<A>
DFT (PBE) results for crystalline Os5Ru4 at its relaxed geometry.

a = 7.4585 Å, b = 7.4585 Å, c = 5.3975 Å
α = 90.00°, β = 90.00°, γ = 120.00°
Atoms (fractional coordinates):
Ru (0.0000, 0.0000, 0.0000)
Ru (0.0000, 0.0000, 0.5000)
Ru (0.0000, 0.3333, 0.2500)
Ru (0.6667, 0.6667, 0.2500)
Ru (0.3333, 0.0000, 0.2500)
Ru (0.0000, 0.6667, 0.7500)
Ru (0.3333, 0.3333, 0.7500)
Ru (0.6667, 0.0000, 0.7500)
Os (0.0000, 0.6663, 0.2500)
Os (0.3337, 0.3337, 0.2500)
Os (0.6663, 0.0000, 0.2500)
Os (0.0000, 0.3337, 0.7500)
Os (0.6663, 0.6663, 0.7500)
Os (0.3337, 0.0000, 0.7500)
Os (0.6667, 0.3333, 0.0000)
Os (0.3333, 0.6667, 0.5000)
Os (0.3333, 0.6667, 0.0000)
Os (0.6667, 0.3333, 0.5000)

Output
Space-group type: P6_3/mcm (193)
Total moment (μB/f.u.): 0.00


<B>
DFT (PBE) results for crystalline Os5Ru4 at its relaxed geometry.

a = 6.0734 Å, b = 6.0734 Å, c = 6.0734 Å
α = 95.73°, β = 95.73°, γ = 143.15°
Atoms (fractional coordinates):
Os (0.0000, 0.0000, 0.0000)
Os (0.3335, 0.3335, 0.6671)
Os (0.6665, 0.3335, 0.0000)
Os (0.3335, 0.6665, 0.0000)
Os (0.6665, 0.6665, 0.3329)
Ru (0.3319, 0.0000, 0.3319)
Ru (0.6681, 0.0000, 0.6681)
Ru (0.0000, 0.3319, 0.3319)
Ru (0.0000, 0.6681, 0.6681)

Output
Space-group type: I4/mmm (139)
Total moment (μB/f.u.): 0.00


The most stable of them is <B>.